No. 1
Entry from the Alexandria database: a relaxed structure of La3Sm2Pb (PBE-GGA).

The structure in extended XYZ format:
```
6
Lattice="5.0837 0.0000 0.0000 0.0000 4.7662 -1.6115 0.0000 0.1334 8.2485" Properties=species:S:1:pos:R:3 pbc="T T T"
La 2.5418 0.8272 2.4464
La 2.5418 2.3831 -0.8058
La 2.5418 4.0724 4.1905
Sm 0.0000 3.2071 1.6312
Sm 0.0000 1.6925 5.0057
Pb 0.0000 0.0000 0.0000
```

total magnetic moment: 0.0 μB per formula unit
DOS(E_F): 7.0 states/eV per cell
electronic total energy: -4.8648 eV per atom

No. 2
Entry from the Alexandria database: a relaxed structure of La9SmPb2 (PBE-GGA).

The structure in extended XYZ format:
```
12
Lattice="-3.4689 -3.4496 1.4510 2.5215 -3.6164 -2.5695 8.4578 -3.1494 12.7321" Properties=species:S:1:pos:R:3 pbc="T T T"
La -0.4737 -3.5330 -0.5592
La 2.3841 -4.5971 3.7428
La 5.1263 -5.6183 7.8709
La -0.2772 -2.2674 2.9192
La 2.4945 -3.2995 7.0916
La 5.2662 -4.3316 11.2640
La 2.7179 -2.3508 0.9089
La 5.4896 -3.3829 5.0813
La 8.2613 -4.4150 9.2537
Sm 0.0000 0.0000 0.0000
Pb 2.8502 -1.0613 4.2906
Pb 5.6076 -2.0881 8.4416
```

total magnetic moment: 0.0 μB per formula unit
DOS(E_F): 17.0 states/eV per cell
electronic total energy: -4.9454 eV per atom

No. 3
Entry from the Alexandria database: a relaxed structure of La3SmPb2 (PBE-GGA).

The structure in extended XYZ format:
```
12
Lattice="5.0389 0.0000 -0.0010 0.0000 9.2163 0.0001 -2.5212 -4.6080 8.4025" Properties=species:S:1:pos:R:3 pbc="T T T"
La 2.5194 2.3041 -0.0005
La 2.5194 6.9122 -0.0004
La 2.5172 -2.3041 5.3564
La 0.0005 2.3042 3.0452
La 0.0005 6.9124 3.0452
La 2.5172 2.3040 5.3565
Sm 0.0000 4.6082 0.0001
Sm 0.0000 0.0000 0.0000
Pb -0.0019 -0.0001 5.9293
Pb 2.5198 0.0001 2.4723
Pb -0.0020 4.6082 5.9294
Pb 2.5196 4.6083 2.4723
```

total magnetic moment: 0.0 μB per formula unit
DOS(E_F): 14.1 states/eV per cell
electronic total energy: -4.9358 eV per atom

No. 4
Entry from the Alexandria database: a relaxed structure of LaSm2Pb (PBE-GGA).

The structure in extended XYZ format:
```
4
Lattice="-4.1109 0.8414 -0.0604 -0.2006 -1.2670 -3.9957 -1.4158 -6.7583 2.2141" Properties=species:S:1:pos:R:3 pbc="T T T"
Pb -2.1558 -0.2128 -2.0280
Sm -1.1056 -5.2775 1.7290
Sm -0.3102 -1.4808 0.4851
La -2.8637 -3.5919 -0.9210
```

total magnetic moment: 0.0 μB per formula unit
DOS(E_F): 6.1 states/eV per cell
electronic total energy: -4.7539 eV per atom